SrTlCd: relaxed, GGA-PBE.

Its total moment is 0.00 μB/f.u. For the electronic total energy, the calculation gives -2.013 eV per atom. For the calculated formation energy, the calculation gives -0.358 eV per atom.

The space group is C2/m (No. 12) and the conventional cell measures 12.000, 5.136 and 8.078 Å, with angles of 90.00, 132.13 and 90.00 degrees. The distinct sites, in fractional coordinates, are Sr at (0.037, 0.000, 0.287), Tl at (0.168, 0.500, 0.720) and Cd at (0.160, 0.500, 0.116).

Zn4Ga3Cu4: relaxed, GGA-PBE.

Its total moment is 0.00 μB/f.u. For the electronic total energy, the calculation gives -2.765 eV per atom. For the calculated formation energy, the calculation gives 0.013 eV per atom.

The space group is Immm (No. 71) and the conventional cell measures 2.763, 8.113 and 14.660 Å, with angles of 90.00, 90.00 and 90.00 degrees. The distinct sites, in fractional coordinates, are Zn at (0.000, 0.191, 0.169), Ga at (0.000, 0.000, 0.411), Ga at (0.000, 0.500, 0.500), Cu at (0.000, 0.265, 0.000) and Cu at (0.000, 0.500, 0.232).

YMgCu3Se4: relaxed, GGA-PBE.

Its total moment is 0.00 μB/f.u. For the electronic total energy, the calculation gives -4.510 eV per atom. The value obtained for the uncorrected formation energy is -0.701 eV/atom.

The space group is P-43m (No. 215) and the conventional cell measures 5.986, 5.986 and 5.986 Å, with angles of 90.00, 90.00 and 90.00 degrees. The distinct sites, in fractional coordinates, are Y at (0.000, 0.000, 0.000), Mg at (0.500, 0.500, 0.500), Cu at (0.000, 0.000, 0.500) and Se at (0.254, 0.254, 0.254).

CaPr3Ge2: relaxed, GGA-PBE.

Its total moment is 0.00 μB/f.u. For the electronic total energy, the calculation gives -4.714 eV per atom. For the calculated formation energy, the calculation gives -0.452 eV per atom.

The space group is C2/m (No. 12) and the conventional cell measures 17.197, 5.096 and 8.109 Å, with angles of 90.00, 100.59 and 90.00 degrees. The distinct sites, in fractional coordinates, are Ca at (0.162, 0.000, 0.255), Pr at (0.045, 0.000, 0.755), Pr at (0.140, 0.500, 0.506), Pr at (0.170, 0.500, 0.964), Ge at (0.031, 0.500, 0.160) and Ge at (0.215, 0.000, 0.692).

TaVCo2W: relaxed, GGA-PBE.

Its total moment is 0.52 μB/f.u. For the electronic total energy, the calculation gives -7.947 eV per atom. For the calculated formation energy, the calculation gives 1.680 eV per atom.

The space group is P4/mmm (No. 123) and the conventional cell measures 4.359, 4.359 and 4.881 Å, with angles of 90.00, 90.00 and 90.00 degrees. The distinct sites, in fractional coordinates, are Ta at (0.000, 0.000, 0.000), V at (0.500, 0.500, 0.000), Co at (0.000, 0.500, 0.500) and W at (0.000, 0.000, 0.500).

RbSbIrF2: relaxed, GGA-PBE.

Its total moment is 0.00 μB/f.u. For the electronic total energy, the calculation gives -4.143 eV per atom. The value obtained for the uncorrected formation energy is -0.604 eV/atom.

The space group is P4/mmm (No. 123) and the conventional cell measures 4.802, 4.802 and 4.981 Å, with angles of 90.00, 90.00 and 90.00 degrees. The distinct sites, in fractional coordinates, are Rb at (0.000, 0.000, 0.000), Sb at (0.500, 0.500, 0.000), Ir at (0.500, 0.500, 0.500) and F at (0.000, 0.500, 0.500).